No. 1
# Sb2SN, optimized geometry, DFT GGA-PBE
data_Sb2SN
_symmetry_space_group_name_H-M 'P 1'
_symmetry_Int_Tables_number 1
_cell_length_a 5.917
_cell_length_b 5.917
_cell_length_c 5.917
_cell_angle_alpha 109.69
_cell_angle_beta 109.69
_cell_angle_gamma 109.04
loop_
_symmetry_equiv_pos_as_xyz
'x,y,z'
loop_
_atom_site_label
_atom_site_type_symbol
_atom_site_fract_x
_atom_site_fract_y
_atom_site_fract_z
Sb1 Sb 0.063 0.625 0.938
Sb2 Sb 0.375 0.313 0.438
Sb3 Sb 0.687 0.125 0.062
Sb4 Sb 0.875 0.937 0.562
S1 S 0.250 0.750 0.500
S2 S 0.500 0.500 0.000
N1 N 0.000 0.000 0.000
N2 N 0.750 0.250 0.500
# relative energy among the computed polymorphs = 0 meV/atom
# raw formation energy = 0.4614 eV/atom
# DFT total energy = -4.71 eV per atom

---

No. 2
# Sb3SN, optimized geometry, DFT GGA-PBE
data_Sb3SN
_symmetry_space_group_name_H-M 'P 1'
_symmetry_Int_Tables_number 1
_cell_length_a 4.772
_cell_length_b 4.772
_cell_length_c 4.772
_cell_angle_alpha 90.00
_cell_angle_beta 90.00
_cell_angle_gamma 90.00
loop_
_symmetry_equiv_pos_as_xyz
'x,y,z'
loop_
_atom_site_label
_atom_site_type_symbol
_atom_site_fract_x
_atom_site_fract_y
_atom_site_fract_z
Sb1 Sb 0.000 0.000 0.500
Sb2 Sb 0.000 0.500 0.000
Sb3 Sb 0.500 0.000 0.000
S1 S 0.500 0.500 0.500
N1 N 0.000 0.000 0.000
# relative energy among the computed polymorphs = 0 meV/atom
# raw formation energy = 0.7876 eV/atom
# DFT total energy = -4.18 eV per atom

---

No. 3
# Sb2SN, optimized geometry, DFT GGA-PBE
data_Sb2SN
_symmetry_space_group_name_H-M 'P 1'
_symmetry_Int_Tables_number 1
_cell_length_a 4.670
_cell_length_b 4.670
_cell_length_c 4.670
_cell_angle_alpha 60.00
_cell_angle_beta 60.00
_cell_angle_gamma 60.00
loop_
_symmetry_equiv_pos_as_xyz
'x,y,z'
loop_
_atom_site_label
_atom_site_type_symbol
_atom_site_fract_x
_atom_site_fract_y
_atom_site_fract_z
Sb1 Sb 0.250 0.250 0.250
Sb2 Sb 0.750 0.750 0.750
S1 S 0.000 0.000 0.000
N1 N 0.500 0.500 0.500
# relative energy among the computed polymorphs = 483 meV/atom
# raw formation energy = 0.9443 eV/atom
# DFT total energy = -4.23 eV per atom